Entry 1:
This record from Alexandria via LeMat-Bulk describes SrSc2Cu after structural relaxation. The functional is PBE. Values from VASP.

Structure (Quantum ESPRESSO input):
```
&SYSTEM
  ibrav = 0, nat = 4, ntyp = 3
/
ATOMIC_SPECIES
Sc 44.96 Sc.upf
Sr 87.62 Sr.upf
Cu 63.55 Cu.upf
CELL_PARAMETERS angstrom
-2.277 -0.134 6.025
-6.258 -0.880 1.250
5.387 -2.266 -2.711
ATOMIC_POSITIONS angstrom
Sc -0.547 -0.065 0.466
Sc -0.567 -1.452 3.466
Sr -3.889 -0.462 3.315
Cu -2.413 -1.808 0.955
```

Values from the calculation:
- ΔE_f (eV/atom) = 0.209
- polymorph energy (0 for the lowest one) (meV/atom) = 153

=====

Entry 2:
This record from Alexandria via LeMat-Bulk describes SrScCu2 after structural relaxation. The functional is PBE. Values from VASP.

Structure (Quantum ESPRESSO input):
```
&SYSTEM
  ibrav = 0, nat = 4, ntyp = 3
/
ATOMIC_SPECIES
Sr 87.62 Sr.upf
Cu 63.55 Cu.upf
Sc 44.96 Sc.upf
CELL_PARAMETERS angstrom
4.575 0.011 0.008
2.278 3.967 0.008
2.279 1.323 5.361
ATOMIC_POSITIONS angstrom
Sr 2.283 1.325 1.344
Cu 4.564 2.649 3.595
Cu 2.282 1.324 4.454
Sc 6.849 3.976 4.032
```

Values from the calculation:
- ΔE_f (eV/atom) = -0.065
- polymorph energy (0 for the lowest one) (meV/atom) = 35

=====

Entry 3:
This record from Alexandria via LeMat-Bulk describes SrScCu2 after structural relaxation. The functional is PBE. Values from VASP.

Structure (Quantum ESPRESSO input):
```
&SYSTEM
  ibrav = 0, nat = 4, ntyp = 3
/
ATOMIC_SPECIES
Cu 63.55 Cu.upf
Sc 44.96 Sc.upf
Sr 87.62 Sr.upf
CELL_PARAMETERS angstrom
-1.021 1.954 2.684
-3.146 0.354 -1.454
-5.379 -5.498 1.957
ATOMIC_POSITIONS angstrom
Cu -4.118 -2.196 0.032
Cu -3.289 -0.022 -1.235
Sc -2.642 -0.309 1.468
Sr -6.904 -2.881 1.719
```

Values from the calculation:
- ΔE_f (eV/atom) = -0.100
- polymorph energy (0 for the lowest one) (meV/atom) = 0

=====

Entry 4:
This record from Alexandria via LeMat-Bulk describes SrSc2Cu after structural relaxation. The functional is PBE. Values from VASP.

Structure (Quantum ESPRESSO input):
```
&SYSTEM
  ibrav = 0, nat = 4, ntyp = 3
/
ATOMIC_SPECIES
Sc 44.96 Sc.upf
Sr 87.62 Sr.upf
Cu 63.55 Cu.upf
CELL_PARAMETERS angstrom
3.780 0.000 0.000
0.000 5.063 0.051
0.000 5.006 5.319
ATOMIC_POSITIONS angstrom
Sc 0.000 0.000 0.000
Sc 1.890 2.531 0.025
Sr 1.890 5.034 2.685
Cu 0.000 2.503 2.659
```

Values from the calculation:
- ΔE_f (eV/atom) = 0.307
- polymorph energy (0 for the lowest one) (meV/atom) = 251

=====

Entry 5:
This record from Alexandria via LeMat-Bulk describes SrScCu2 after structural relaxation. The functional is PBE. Values from VASP.

Structure (Quantum ESPRESSO input):
```
&SYSTEM
  ibrav = 0, nat = 4, ntyp = 3
/
ATOMIC_SPECIES
Cu 63.55 Cu.upf
Sr 87.62 Sr.upf
Sc 44.96 Sc.upf
CELL_PARAMETERS angstrom
6.878 0.777 -0.370
4.174 5.521 0.370
-5.196 -3.728 2.673
ATOMIC_POSITIONS angstrom
Cu 4.587 0.659 1.152
Cu 10.834 6.174 0.000
Sr 1.804 2.216 1.522
Sc 5.209 2.968 0.000
```

Values from the calculation:
- ΔE_f (eV/atom) = 0.066
- polymorph energy (0 for the lowest one) (meV/atom) = 166

=====

Entry 6:
This record from Alexandria via LeMat-Bulk describes SrSc2Cu after structural relaxation. The functional is PBE. Values from VASP.

Structure (Quantum ESPRESSO input):
```
&SYSTEM
  ibrav = 0, nat = 4, ntyp = 3
/
ATOMIC_SPECIES
Sc 44.96 Sc.upf
Sr 87.62 Sr.upf
Cu 63.55 Cu.upf
CELL_PARAMETERS angstrom
-4.693 -1.907 1.303
-1.368 -4.824 -1.487
-0.376 -3.823 3.550
ATOMIC_POSITIONS angstrom
Sc -1.609 -2.638 0.841
Sc 0.000 0.000 0.000
Sr -4.827 -7.915 2.524
Cu -3.218 -5.277 1.683
```

Values from the calculation:
- ΔE_f (eV/atom) = 0.397
- polymorph energy (0 for the lowest one) (meV/atom) = 340

=====

Entry 7:
This record from Alexandria via LeMat-Bulk describes SrScCu2 after structural relaxation. The functional is PBE. Values from VASP.

Structure (Quantum ESPRESSO input):
```
&SYSTEM
  ibrav = 0, nat = 4, ntyp = 3
/
ATOMIC_SPECIES
Sc 44.96 Sc.upf
Cu 63.55 Cu.upf
Sr 87.62 Sr.upf
CELL_PARAMETERS angstrom
4.809 0.000 0.000
2.404 4.165 0.000
2.404 1.388 3.926
ATOMIC_POSITIONS angstrom
Sc 4.809 2.776 1.963
Cu 0.000 0.000 0.000
Cu 7.213 4.165 2.945
Sr 2.404 1.388 0.982
```

Values from the calculation:
- ΔE_f (eV/atom) = 0.289
- polymorph energy (0 for the lowest one) (meV/atom) = 389

=====

Entry 8:
This record from Alexandria via LeMat-Bulk describes SrScCu2 after structural relaxation. The functional is PBE. Values from VASP.

Structure (Quantum ESPRESSO input):
```
&SYSTEM
  ibrav = 0, nat = 4, ntyp = 3
/
ATOMIC_SPECIES
Cu 63.55 Cu.upf
Sc 44.96 Sc.upf
Sr 87.62 Sr.upf
CELL_PARAMETERS angstrom
5.791 -0.040 0.000
2.823 5.057 0.000
-4.307 -2.508 2.949
ATOMIC_POSITIONS angstrom
Cu 1.411 2.528 1.475
Cu 0.000 0.000 0.000
Sc 4.307 2.508 0.000
Sr 2.896 -0.020 1.475
```

Values from the calculation:
- ΔE_f (eV/atom) = 0.269
- polymorph energy (0 for the lowest one) (meV/atom) = 368

=====

Entry 9:
This record from Alexandria via LeMat-Bulk describes SrScCu2 after structural relaxation. The functional is PBE. Values from VASP.

Structure (Quantum ESPRESSO input):
```
&SYSTEM
  ibrav = 0, nat = 4, ntyp = 3
/
ATOMIC_SPECIES
Cu 63.55 Cu.upf
Sc 44.96 Sc.upf
Sr 87.62 Sr.upf
CELL_PARAMETERS angstrom
-2.720 -3.143 0.764
1.188 -4.014 -0.580
1.552 -2.686 6.258
ATOMIC_POSITIONS angstrom
Cu 0.198 -7.410 5.383
Cu 1.219 -2.638 5.257
Sc 0.303 -4.968 4.105
Sr -0.138 -2.434 1.176
```

Values from the calculation:
- ΔE_f (eV/atom) = -0.021
- polymorph energy (0 for the lowest one) (meV/atom) = 79

=====

Entry 10:
This record from Alexandria via LeMat-Bulk describes SrScCu2 after structural relaxation. The functional is PBE. Values from VASP.

Structure (Quantum ESPRESSO input):
```
&SYSTEM
  ibrav = 0, nat = 4, ntyp = 3
/
ATOMIC_SPECIES
Cu 63.55 Cu.upf
Sc 44.96 Sc.upf
Sr 87.62 Sr.upf
CELL_PARAMETERS angstrom
-1.542 1.007 -3.723
6.212 -1.658 -3.022
3.124 -4.234 -2.440
ATOMIC_POSITIONS angstrom
Cu 2.335 -0.325 -3.372
Cu 0.000 0.000 0.000
Sc 3.897 -2.442 -4.592
Sr 1.562 -2.117 -1.220
```

Values from the calculation:
- ΔE_f (eV/atom) = 0.223
- polymorph energy (0 for the lowest one) (meV/atom) = 323

=====

Entry 11:
This record from Alexandria via LeMat-Bulk describes SrSc2Cu after structural relaxation. The functional is PBE. Values from VASP.

Structure (Quantum ESPRESSO input):
```
&SYSTEM
  ibrav = 0, nat = 4, ntyp = 3
/
ATOMIC_SPECIES
Cu 63.55 Cu.upf
Sc 44.96 Sc.upf
Sr 87.62 Sr.upf
CELL_PARAMETERS angstrom
3.510 0.000 0.000
0.000 3.512 -0.006
0.000 3.527 8.448
ATOMIC_POSITIONS angstrom
Cu 1.755 5.280 6.835
Sc 1.755 1.758 1.634
Sc 0.000 3.526 8.048
Sr 0.000 3.520 4.594
```

Values from the calculation:
- ΔE_f (eV/atom) = 0.056
- polymorph energy (0 for the lowest one) (meV/atom) = 0

=====

Entry 12:
This record from Alexandria via LeMat-Bulk describes SrSc2Cu after structural relaxation. The functional is PBE. Values from VASP.

Structure (Quantum ESPRESSO input):
```
&SYSTEM
  ibrav = 0, nat = 4, ntyp = 3
/
ATOMIC_SPECIES
Sc 44.96 Sc.upf
Cu 63.55 Cu.upf
Sr 87.62 Sr.upf
CELL_PARAMETERS angstrom
5.685 -0.004 0.000
1.870 5.369 0.000
-3.778 -2.682 3.295
ATOMIC_POSITIONS angstrom
Sc 0.935 2.684 1.647
Sc 0.000 0.000 0.000
Cu 2.843 -0.002 1.647
Sr 3.778 2.682 0.000
```

Values from the calculation:
- ΔE_f (eV/atom) = 0.398
- polymorph energy (0 for the lowest one) (meV/atom) = 342

=====

Entry 13:
This record from Alexandria via LeMat-Bulk describes SrSc2Cu after structural relaxation. The functional is PBE. Values from VASP.

Structure (Quantum ESPRESSO input):
```
&SYSTEM
  ibrav = 0, nat = 4, ntyp = 3
/
ATOMIC_SPECIES
Sc 44.96 Sc.upf
Sr 87.62 Sr.upf
Cu 63.55 Cu.upf
CELL_PARAMETERS angstrom
-3.582 -4.250 8.052
-0.088 -5.501 8.091
-0.880 -2.161 9.502
ATOMIC_POSITIONS angstrom
Sc -0.130 -0.341 0.735
Sc -2.144 -5.614 12.087
Sr -1.137 -2.978 6.411
Cu -3.412 -8.934 19.234
```

Values from the calculation:
- ΔE_f (eV/atom) = 0.204
- polymorph energy (0 for the lowest one) (meV/atom) = 147

=====

Entry 14:
This record from Alexandria via LeMat-Bulk describes SrSc2Cu after structural relaxation. The functional is PBE. Values from VASP.

Structure (Quantum ESPRESSO input):
```
&SYSTEM
  ibrav = 0, nat = 8, ntyp = 3
/
ATOMIC_SPECIES
Sc 44.96 Sc.upf
Sr 87.62 Sr.upf
Cu 63.55 Cu.upf
CELL_PARAMETERS angstrom
5.670 0.000 0.000
0.000 5.670 0.000
2.835 2.835 8.670
ATOMIC_POSITIONS angstrom
Sc 4.252 5.670 6.502
Sc 7.087 5.670 6.502
Sc 2.835 1.417 2.167
Sc 2.835 4.252 2.167
Sr 0.000 0.000 0.000
Sr 5.670 2.835 4.335
Cu 2.835 5.670 4.335
Cu 2.835 2.835 0.000
```

Values from the calculation:
- ΔE_f (eV/atom) = 0.636
- polymorph energy (0 for the lowest one) (meV/atom) = 579

=====

Entry 15:
This record from Alexandria via LeMat-Bulk describes Sr4ScCu2 after structural relaxation. The functional is PBE. Values from VASP.

Structure (Quantum ESPRESSO input):
```
&SYSTEM
  ibrav = 0, nat = 7, ntyp = 3
/
ATOMIC_SPECIES
Sr 87.62 Sr.upf
Sc 44.96 Sc.upf
Cu 63.55 Cu.upf
CELL_PARAMETERS angstrom
6.223 0.000 0.000
0.000 6.223 0.000
3.111 3.111 7.546
ATOMIC_POSITIONS angstrom
Sr 3.111 0.000 0.000
Sr 3.111 3.111 4.117
Sr 0.000 3.111 0.000
Sr 6.223 6.223 3.429
Sc 0.000 0.000 0.000
Cu 6.223 6.223 6.375
Cu 3.111 3.111 1.171
```

Values from the calculation:
- ΔE_f (eV/atom) = 0.548

=====

Entry 16:
This record from Alexandria via LeMat-Bulk describes Sr4ScCu after structural relaxation. The functional is PBE. Values from VASP.

Structure (Quantum ESPRESSO input):
```
&SYSTEM
  ibrav = 0, nat = 6, ntyp = 3
/
ATOMIC_SPECIES
Sr 87.62 Sr.upf
Cu 63.55 Cu.upf
Sc 44.96 Sc.upf
CELL_PARAMETERS angstrom
2.844 -1.324 6.474
-0.535 4.905 5.235
-4.301 -1.212 5.638
ATOMIC_POSITIONS angstrom
Sr 0.682 0.223 9.747
Sr -2.905 0.279 9.327
Sr -0.746 0.887 6.496
Sr -1.015 3.350 9.125
Cu -1.494 1.777 13.011
Sc 0.000 0.000 0.000
```

Values from the calculation:
- ΔE_f (eV/atom) = 0.797

=====

Entry 17:
This record from Alexandria via LeMat-Bulk describes Sr3ScCu after structural relaxation. The functional is PBE. Values from VASP.

Structure (Quantum ESPRESSO input):
```
&SYSTEM
  ibrav = 0, nat = 5, ntyp = 3
/
ATOMIC_SPECIES
Sr 87.62 Sr.upf
Sc 44.96 Sc.upf
Cu 63.55 Cu.upf
CELL_PARAMETERS angstrom
5.911 0.000 0.000
0.000 5.911 0.000
0.000 0.000 5.911
ATOMIC_POSITIONS angstrom
Sr 0.000 0.000 2.956
Sr 0.000 2.956 0.000
Sr 2.956 0.000 0.000
Sc 2.956 2.956 2.956
Cu 0.000 0.000 0.000
```

Values from the calculation:
- ΔE_f (eV/atom) = 0.313
- polymorph energy (0 for the lowest one) (meV/atom) = 0

=====

Entry 18:
This record from Alexandria via LeMat-Bulk describes SrScCu2 after structural relaxation. The functional is PBE. Values from VASP.

Structure (Quantum ESPRESSO input):
```
&SYSTEM
  ibrav = 0, nat = 4, ntyp = 3
/
ATOMIC_SPECIES
Cu 63.55 Cu.upf
Sr 87.62 Sr.upf
Sc 44.96 Sc.upf
CELL_PARAMETERS angstrom
0.000 3.508 3.508
3.508 0.000 3.508
3.508 3.508 0.000
ATOMIC_POSITIONS angstrom
Cu 1.754 1.754 1.754
Cu 5.262 5.262 5.262
Sr 3.508 3.508 3.508
Sc 0.000 0.000 0.000
```

Values from the calculation:
- ΔE_f (eV/atom) = 0.069
- polymorph energy (0 for the lowest one) (meV/atom) = 169

=====

Entry 19:
This record from Alexandria via LeMat-Bulk describes SrSc2Cu after structural relaxation. The functional is PBE. Values from VASP.

Structure (Quantum ESPRESSO input):
```
&SYSTEM
  ibrav = 0, nat = 4, ntyp = 3
/
ATOMIC_SPECIES
Sc 44.96 Sc.upf
Cu 63.55 Cu.upf
Sr 87.62 Sr.upf
CELL_PARAMETERS angstrom
6.339 0.158 0.266
5.341 3.418 0.266
3.267 1.000 5.329
ATOMIC_POSITIONS angstrom
Sc 11.383 3.485 1.250
Sc 11.066 3.388 4.678
Cu 3.517 1.077 0.432
Sr 8.133 2.490 2.966
```

Values from the calculation:
- ΔE_f (eV/atom) = 0.184
- polymorph energy (0 for the lowest one) (meV/atom) = 128

=====

Entry 20:
This record from Alexandria via LeMat-Bulk describes SrSc2Cu after structural relaxation. The functional is PBE. Values from VASP.

Structure (Quantum ESPRESSO input):
```
&SYSTEM
  ibrav = 0, nat = 4, ntyp = 3
/
ATOMIC_SPECIES
Sr 87.62 Sr.upf
Cu 63.55 Cu.upf
Sc 44.96 Sc.upf
CELL_PARAMETERS angstrom
6.475 0.008 0.001
5.583 3.279 0.001
2.250 0.613 4.868
ATOMIC_POSITIONS angstrom
Sr 10.731 2.925 3.653
Cu 3.577 0.975 1.218
Sc 7.653 2.086 2.187
Sc 11.559 3.151 0.250
```

Values from the calculation:
- ΔE_f (eV/atom) = 0.097
- polymorph energy (0 for the lowest one) (meV/atom) = 41